NaAg2SnBr8 | PBE-GGA | relaxed Values from VASP.

Results
energy relative to the elements, uncorrected = -5.3 eV/f.u.
magnetization = 1.1 μB per cell

```
&SYSTEM
  ibrav = 0, nat = 12, ntyp = 4
/
ATOMIC_SPECIES
Na 22.99 Na.upf
Ag 107.87 Ag.upf
Sn 118.71 Sn.upf
Br 79.90 Br.upf
CELL_PARAMETERS angstrom
-4.599 4.599 4.701
4.599 -4.599 4.701
4.599 4.599 -4.701
ATOMIC_POSITIONS angstrom
Na 0.000 0.000 0.000
Ag 4.599 0.000 2.350
Ag 0.000 0.000 4.701
Sn 0.000 4.599 2.350
Br 2.914 0.000 0.361
Br 6.284 0.000 0.361
Br 4.599 2.713 -1.850
Br 4.599 -1.685 4.340
Br 0.000 1.886 2.851
Br 4.599 1.685 4.340
Br 2.713 4.599 1.850
Br 1.886 0.000 6.551
```

TbNd3Sb2 | PBE-GGA | relaxed Values from VASP.

Results
energy relative to the elements, uncorrected = -3.7 eV/f.u.
magnetization = 0.4 μB per cell

```
&SYSTEM
  ibrav = 0, nat = 12, ntyp = 3
/
ATOMIC_SPECIES
Tb 158.93 Tb.upf
Nd 144.24 Nd.upf
Sb 121.76 Sb.upf
CELL_PARAMETERS angstrom
-3.615 7.307 3.959
3.615 -7.307 3.959
3.615 7.307 -3.959
ATOMIC_POSITIONS angstrom
Tb 0.000 0.000 0.000
Tb 0.000 0.000 3.959
Nd 3.615 4.249 -1.980
Nd 3.615 0.000 1.980
Nd 0.000 3.059 1.980
Nd 3.615 4.249 1.980
Nd 0.000 7.307 1.980
Nd 0.000 3.059 5.939
Sb 4.916 2.115 0.000
Sb 1.302 5.192 0.000
Sb 2.313 2.115 3.959
Sb -1.302 5.192 3.959
```